Entry 1:
Here is crystalline LaYRh2 at its relaxed geometry from the Alexandria database. Energies are from PBE.

abc: 4.2273 5.8039 5.8039
angles: 39.41 90.00 90.00
Element x y z (fractional)
La 0.0000 0.0000 0.0000
Y 0.5000 0.7182 0.7182
Rh 0.0000 0.2677 0.2677
Rh 0.5000 0.4412 0.4412

Output
Volume, Å³/cell: 90.4
Theoretical density, g cm⁻³: 8.0
VASP energy, eV per cell: -29.1
Symmetry: Amm2

=====

Entry 2:
Here is crystalline LaYRh2 at its relaxed geometry from the Alexandria database. Energies are from PBE.

abc: 4.0363 4.0363 5.8040
angles: 90.00 90.00 90.00
Element x y z (fractional)
La 0.0000 0.0000 0.0000
Y 0.5000 0.5000 0.5536
Rh 0.0000 0.0000 0.4918
Rh 0.5000 0.5000 0.0574

Output
Volume, Å³/cell: 94.6
Theoretical density, g cm⁻³: 7.6
VASP energy, eV per cell: -28.4
Symmetry: P4mm

=====

Entry 3:
Here is crystalline La2YRh2 at its relaxed geometry from the Alexandria database. Energies are from PBE.

abc: 8.2536 8.2536 8.2536
angles: 150.20 150.20 42.64
Element x y z (fractional)
La 0.1330 0.1330 0.0000
La 0.8670 0.8670 0.0000
Y 0.5000 0.5000 0.0000
Rh 0.2500 0.7500 0.5000
Rh 0.7500 0.2500 0.5000

Output
Volume, Å³/cell: 138.5
Theoretical density, g cm⁻³: 6.9
VASP energy, eV per cell: -31.7
Symmetry: I4/mmm

=====

Entry 4:
Here is crystalline LaYRh at its relaxed geometry from the Alexandria database. Energies are from PBE.

abc: 7.0132 7.0132 7.0132
angles: 150.86 150.86 41.68
Element x y z (fractional)
La 0.0000 0.0000 0.0000
Y 0.2578 0.2578 0.0000
Rh 0.6390 0.6390 0.0000

Output
Volume, Å³/cell: 81.6
Theoretical density, g cm⁻³: 6.7
VASP energy, eV per cell: -20.2
Symmetry: I4mm

=====

Among the records above, which one has the lowest theoretical density?
LaYRh

=====

What is the theoretical density in the second record?
7.6 g cm⁻³

=====

Among the records above, which one has the highest theoretical density?
number 1